NpCuBO6: optimized geometry, GGA-PBE.

Properties
E_form (uncorrected) ... -13.3 eV/f.u.
DOS at the Fermi energy ... 7.2 states/eV/cell
SG ... No. 163
E_tot ... -0.2727 hartree per atom
V ... 92.2 Å³/f.u.

Geometry as POSCAR:
```
NpCuBO6
1.0
-3.9197 0.0751 2.9774
0.3052 -3.3619 -3.5832
4.0780 -5.4996 5.5073
O Cu B Np
12 2 2 2
direct
0.3295 0.3753 0.8625 O
0.6247 0.6705 0.6375 O
0.0458 0.3753 0.6375 O
0.6247 0.9542 0.8625 O
0.3295 0.9542 0.6375 O
0.6705 0.0458 0.3625 O
0.9542 0.6247 0.3625 O
0.3753 0.3295 0.3625 O
0.9542 0.3295 0.1375 O
0.6705 0.6247 0.1375 O
0.0458 0.6705 0.8625 O
0.3753 0.0458 0.1375 O
0.0000 0.0000 0.5000 Cu
0.0000 0.0000 0.0000 Cu
0.3333 0.6667 0.7500 B
0.6667 0.3333 0.2500 B
0.6667 0.3333 0.7500 Np
0.3333 0.6667 0.2500 Np
```